1.
AlCo23Ni6 (PBE-GGA, relaxed); density = 8316 kg/m³; crystal system = cubic; energy = -0.484 Ry per atom; DOS(E_F) = 1.011 states/eV per atom; space group = Fm-3m, No. 225
1.0
6.827 0.000 3.941
2.276 6.436 3.941
0.000 0.000 7.883
Al Co Ni
1 23 6
Direct
0.500 0.500 0.500
0.641 0.120 0.120
0.359 0.880 0.880
0.120 0.120 0.641
0.120 0.120 0.120
0.880 0.880 0.359
0.880 0.880 0.880
0.120 0.641 0.120
0.880 0.359 0.880
0.500 0.500 0.000
0.000 0.000 0.500
0.500 0.000 0.000
0.000 0.500 0.500
0.500 0.000 0.500
0.000 0.500 0.000
0.000 0.333 0.333
0.000 0.667 0.667
0.333 0.333 0.000
0.333 0.333 0.333
0.667 0.667 0.000
0.667 0.667 0.667
0.333 0.000 0.333
0.667 0.000 0.667
0.000 0.000 0.000
0.725 0.725 0.275
0.275 0.275 0.725
0.725 0.275 0.275
0.275 0.725 0.725
0.725 0.275 0.725
0.275 0.725 0.275

2.
Dy2In6Ni (PBE-GGA, relaxed); density = 7966 kg/m³; crystal system = orthorhombic; energy = -0.274 Ry per atom; DOS(E_F) = 0.556 states/eV per atom; space group = Amm2, No. 38
1.0
4.618 0.000 -0.880
0.000 3.823 0.000
0.018 0.000 12.658
Dy In Ni
2 6 1
Direct
0.327 0.000 0.655
0.996 0.000 0.991
0.708 0.000 0.417
0.224 0.500 0.447
0.107 0.500 0.213
0.584 0.000 0.167
0.456 0.500 0.912
0.885 0.500 0.770
0.783 0.500 0.566

3.
Ca3W (PBE-GGA, relaxed); density = 4605 kg/m³; crystal system = orthorhombic; energy = -0.280 Ry per atom; DOS(E_F) = 1.086 states/eV per atom; space group = Cmmm, No. 65
1.0
-0.893 5.726 -2.039
-2.702 -1.195 5.387
2.624 0.953 1.528
Ca W
3 1
Direct
0.000 0.500 0.500
0.500 0.000 0.500
0.500 0.500 0.000
0.000 0.000 0.000

4.
BaTa3Ni4S12 (PBE-GGA, relaxed); density = 4782 kg/m³; crystal system = trigonal; DOS(E_F) = 0.866 states/eV per atom; space group = R32, No. 155; uncorrected formation energy = -0.589 eV per atom
1.0
-7.168 -0.640 -3.799
5.753 -1.374 -5.589
0.390 -6.135 5.331
Ba Ta Ni S
1 3 4 12
Direct
0.000 0.000 0.000
0.560 0.440 0.000
0.440 0.000 0.560
0.000 0.560 0.440
0.936 0.064 0.500
0.064 0.500 0.936
0.500 0.936 0.064
0.500 0.500 0.500
0.500 0.338 0.662
0.903 0.500 0.097
0.097 0.903 0.500
0.500 0.097 0.903
0.351 0.936 0.240
0.240 0.351 0.936
0.936 0.240 0.351
0.649 0.760 0.064
0.064 0.649 0.760
0.760 0.064 0.649
0.662 0.500 0.338
0.338 0.662 0.500